VASP calculation (PBE-GGA) on a relaxed structure of Ti3BN.

The structure in CIF format:
```
data_Ti3BN
_chemical_formula_sum 'Ti12 B4 N4'
_space_group_name_H-M_alt 'C 1 2/m 1'
_space_group_IT_number 12
_cell_length_a 12.142
_cell_length_b 3.259
_cell_length_c 6.962
_cell_angle_alpha 90.00
_cell_angle_beta 103.45
_cell_angle_gamma 90.00
loop_
_space_group_symop_operation_xyz
'x,y,z'
'-x,-y,-z'
'-x,y,-z'
'x,-y,z'
'x+1/2,y+1/2,z'
'-x+1/2,-y+1/2,-z'
'-x+1/2,y+1/2,-z'
'x+1/2,-y+1/2,z'
loop_
_atom_site_label
_atom_site_fract_x
_atom_site_fract_y
_atom_site_fract_z
_atom_site_occupancy
Ti1 0.026 0.000 0.246 1
Ti2 0.159 0.500 0.060 1
Ti3 0.172 0.000 0.573 1
B1 0.154 0.000 0.868 1
N1 0.143 0.500 0.367 1
```

ΔE to the lowest computed polymorph: 0.45 eV/f.u.
Energy relative to the elements, uncorrected: -0.455 eV per atom
Mass density: 4.17 g/cm3
E_tot: -8.19 eV per atom